Record 1
VASP calculation (PBE-GGA) on crystalline La4PrCu at its relaxed geometry.

Cell and atoms, written as POSCAR:
```
La4PrCu
1.0
3.709 0.000 0.000
0.000 3.709 0.000
0.000 0.000 14.169
La Pr Cu
4 1 1
direct
0.000 0.000 0.124
0.000 0.000 0.876
0.500 0.500 0.315
0.500 0.500 0.685
0.000 0.000 0.500
0.500 0.500 0.000
```

For the formation energy, the calculation gives -0.22 eV per formula unit. As for the space group: P4/mmm. The total energy is -0.176 hartree per atom. As for the crystal system: tetragonal.

Record 2
VASP calculation (PBE-GGA) on crystalline La3PrCu4 at its relaxed geometry.

Cell and atoms, written as POSCAR:
```
La3PrCu4
1.0
5.178 0.000 0.000
0.000 5.178 0.000
0.000 0.000 7.246
La Pr Cu
3 1 4
direct
0.000 0.000 0.000
0.000 0.000 0.500
0.500 0.500 0.000
0.500 0.500 0.500
0.000 0.500 0.254
0.000 0.500 0.746
0.500 0.000 0.254
0.500 0.000 0.746
```

For the formation energy, the calculation gives -1.04 eV per formula unit. As for the space group: P4/mmm. The total energy is -0.170 hartree per atom. As for the crystal system: tetragonal.

Record 3
VASP calculation (PBE-GGA) on crystalline LaPrCu at its relaxed geometry.

Cell and atoms, written as POSCAR:
```
LaPrCu
1.0
3.677 0.000 0.000
0.000 3.677 0.000
0.000 0.000 12.689
La Pr Cu
2 2 2
direct
0.000 0.000 0.000
0.500 0.500 0.500
0.000 0.000 0.725
0.500 0.500 0.225
0.000 0.000 0.359
0.500 0.500 0.859
```

For the formation energy, the calculation gives -0.19 eV per formula unit. As for the space group: I4mm. The total energy is -0.171 hartree per atom. As for the crystal system: tetragonal. For the relative energy among the computed polymorphs, the calculation gives 0.0 kJ/mol of atoms.

Record 4
VASP calculation (PBE-GGA) on crystalline LaPrCu2 at its relaxed geometry.

Cell and atoms, written as POSCAR:
```
LaPrCu2
1.0
7.282 0.000 0.000
0.000 7.282 0.000
0.000 0.000 7.282
La Pr Cu
4 4 8
direct
0.000 0.000 0.000
0.000 0.500 0.500
0.500 0.000 0.500
0.500 0.500 0.000
0.000 0.000 0.500
0.000 0.500 0.000
0.500 0.000 0.000
0.500 0.500 0.500
0.250 0.250 0.250
0.250 0.250 0.750
0.250 0.750 0.250
0.250 0.750 0.750
0.750 0.250 0.250
0.750 0.250 0.750
0.750 0.750 0.250
0.750 0.750 0.750
```

For the formation energy, the calculation gives -0.49 eV per formula unit. As for the space group: Fm-3m. The total energy is -0.169 hartree per atom. As for the crystal system: cubic. For the relative energy among the computed polymorphs, the calculation gives 4.2 kJ/mol of atoms.